16
Lattice="4.247 0.000 0.000 -2.123 3.678 0.000 0.000 0.000 12.752" Properties=species:S:1:pos:R:3 comment="ZnC3 PBE-GGA relaxed" space_group="P6_3/mmc, No. 194" relative_energy_ev_per_atom=2.134 ef_ev_per_atom=2.59 pbc="T T T"
Zn 0.000 0.000 0.000
Zn 0.000 0.000 6.376
Zn 0.000 2.452 3.188
Zn 2.123 1.226 9.564
C -1.062 1.839 0.000
C -1.062 1.839 6.376
C 0.000 1.625 9.564
C -0.716 2.865 9.564
C 1.407 0.812 3.188
C 2.123 0.000 0.000
C 2.123 0.000 6.376
C 1.062 1.839 0.000
C 1.062 1.839 6.376
C 0.716 2.865 9.564
C 2.840 0.812 3.188
C 2.123 2.053 3.188

---

12
Lattice="3.753 0.000 0.000 -1.876 3.250 0.000 0.000 0.000 14.274" Properties=species:S:1:pos:R:3 comment="ThB2Ru PBE-GGA relaxed" space_group="R-3m, No. 166" ef_ev_per_atom=-0.24 pbc="T T T"
Th 0.000 0.000 0.000
Th 0.000 2.167 9.516
Th 1.876 1.083 4.758
B 0.000 0.000 2.871
B 0.000 0.000 11.403
B 0.000 2.167 6.645
B 0.000 2.167 12.387
B 1.876 1.083 1.887
B 1.876 1.083 7.629
Ru 0.000 0.000 7.137
Ru 0.000 2.167 2.379
Ru 1.876 1.083 11.895

---

12
Lattice="8.918 -1.957 0.000 8.918 1.957 0.000 -2.322 0.000 7.806" Properties=species:S:1:pos:R:3 comment="Ho6Pt2SeS3 PBE-GGA relaxed" raw_formation_energy_mev_per_atom=-1668 space_group="C2/m, No. 12" pbc="T T T"
Ho -0.460 0.000 2.063
Ho 3.778 0.000 6.905
Ho 5.115 0.000 3.135
Ho 10.398 0.000 4.671
Ho 11.735 0.000 0.901
Ho 15.973 0.000 5.743
Pt 2.289 0.000 2.833
Pt 13.224 0.000 4.973
Se 8.918 0.000 0.000
S 0.845 0.000 6.662
S 7.757 0.000 3.903
S 14.668 0.000 1.144

---

12
Lattice="2.894 0.000 0.000 -1.447 2.506 0.000 0.000 0.000 25.982" Properties=species:S:1:pos:R:3 comment="AsPt2Rh PBE-GGA relaxed" space_group="R-3m, No. 166" ef_ev_per_atom=0.07 pbc="T T T"
As 0.000 0.000 0.000
As 0.000 1.671 17.322
As 1.447 0.835 8.661
Pt 0.000 0.000 6.572
Pt 0.000 0.000 19.411
Pt 0.000 1.671 10.750
Pt 0.000 1.671 23.893
Pt 1.447 0.835 2.089
Pt 1.447 0.835 15.232
Rh 0.000 0.000 12.991
Rh 0.000 1.671 4.330
Rh 1.447 0.835 21.652

---

| no. | calculated total energy (eV per atom) |
| --- | --- |
| 1 | -4.65 |
| 2 | -7.75 |
| 3 | -6.29 |
| 4 | -5.95 |